Below is an optimized crystal structure of KYHg, with properties calculated at the GGA-PBE level.

* DFT formation energy: 0.053 eV per atom

Lattice parameters (Å, degrees): 3.8498 3.8498 8.5736 90.00 90.00 120.00
Element x y z (fractional)
K  0.0000  0.0000  0.0000
Y  0.3333  0.6667  0.4253
Hg  0.6667  0.3333  0.6748


Below is an optimized crystal structure of Er6Tm2MgSc3, with properties calculated at the GGA-PBE level.

* DFT formation energy: 0.047 eV per atom

Lattice parameters (Å, degrees): 5.9443 5.9443 11.2769 95.06 95.06 119.99
Element x y z (fractional)
Er  0.0805  0.4146  0.2432
Er  0.2512  0.2512  0.7571
Er  0.4146  0.0805  0.2432
Er  0.5854  0.9195  0.7568
Er  0.7488  0.7488  0.2429
Er  0.9195  0.5854  0.7568
Tm  0.1666  0.8334  0.5000
Tm  0.8334  0.1666  0.5000
Mg  0.5000  0.5000  0.5000
Sc  0.0000  0.0000  0.0000
Sc  0.3341  0.6659  0.0000
Sc  0.6659  0.3341  0.0000


Below is an optimized crystal structure of CsLiBeF4, with properties calculated at the GGA-PBE level.

* energy: -5.0789 eV/atom

Lattice parameters (Å, degrees): 5.0411 5.5505 8.1512 90.00 106.26 90.00
Element x y z (fractional)
Cs  0.2377  0.2500  0.1696
Cs  0.7623  0.7500  0.8304
Li  0.1279  0.7500  0.4951
Li  0.8721  0.2500  0.5049
Be  0.3740  0.2500  0.7067
Be  0.6260  0.7500  0.2933
F  0.1730  0.0243  0.6605
F  0.1730  0.4757  0.6605
F  0.4288  0.7500  0.4090
F  0.4518  0.7500  0.1046
F  0.5482  0.2500  0.8954
F  0.5712  0.2500  0.5910
F  0.8270  0.5243  0.3395
F  0.8270  0.9757  0.3395


Below is an optimized crystal structure of Li2InW, with properties calculated at the GGA-PBE level.

* DFT formation energy: 0.334 eV per atom

Lattice parameters (Å, degrees): 2.7372 2.7372 9.2398 90.00 90.00 90.00
Element x y z (fractional)
Li  0.0000  0.0000  0.2411
Li  0.0000  0.0000  0.7589
In  0.5000  0.5000  0.5000
W  0.5000  0.5000  0.0000


Below is an optimized crystal structure of NpSnN, with properties calculated at the GGA-PBE level.

* energy: -9.1999 eV/atom

Lattice parameters (Å, degrees): 3.8976 3.8976 7.8870 90.00 90.00 90.00
Element x y z (fractional)
Np  0.2500  0.2500  0.1381
Np  0.7500  0.7500  0.8619
Sn  0.2500  0.2500  0.5917
Sn  0.7500  0.7500  0.4083
N  0.2500  0.7500  0.0000
N  0.7500  0.2500  0.0000


Below is an optimized crystal structure of Sr3Zr2NpN6, with properties calculated at the GGA-PBE level.

* energy: -8.3088 eV/atom

Lattice parameters (Å, degrees): 5.9459 5.9459 6.2648 99.09 99.09 119.99
Element x y z (fractional)
Sr  0.0000  0.0000  0.0000
Sr  0.3304  0.6696  0.0000
Sr  0.6696  0.3304  0.0000
Zr  0.1664  0.8336  0.5000
Zr  0.8336  0.1664  0.5000
Np  0.5000  0.5000  0.5000
N  0.1062  0.4343  0.3028
N  0.2379  0.2379  0.6973
N  0.4343  0.1062  0.3028
N  0.5657  0.8938  0.6972
N  0.7621  0.7621  0.3027
N  0.8938  0.5657  0.6972